1.
Below is an optimized crystal structure of KFe, with properties calculated at the PBE level.

Results
- formation enthalpy at 0 K (kJ/mol of atoms) = 179.12
- energy above the most stable polymorph in this dataset (meV/atom) = 1188.7

a b c (Å): 5.5087 5.5087 5.5087
angles (deg): 60.00 60.00 60.00
Positions (direct):
K (0.0000, 0.0000, 0.0000)
Fe (0.7500, 0.7500, 0.7500)

***

2.
Below is an optimized crystal structure of KFe, with properties calculated at the PBE level.

Results
- formation enthalpy at 0 K (kJ/mol of atoms) = 92.00
- energy above the most stable polymorph in this dataset (meV/atom) = 285.8

a b c (Å): 3.6749 3.6749 10.1367
angles (deg): 90.00 90.00 120.00
Positions (direct):
K (0.3333, 0.6667, 0.2100)
K (0.6667, 0.3333, 0.7900)
Fe (0.3333, 0.6667, 0.5155)
Fe (0.6667, 0.3333, 0.4845)

***

3.
Below is an optimized crystal structure of KFe, with properties calculated at the PBE level.

Results
- formation enthalpy at 0 K (kJ/mol of atoms) = 187.66
- energy above the most stable polymorph in this dataset (meV/atom) = 1277.3

a b c (Å): 9.7336 9.7336 9.7336
angles (deg): 90.00 90.00 90.00
Positions (direct):
K (0.0000, 0.2500, 0.5000)
K (0.0000, 0.7500, 0.5000)
K (0.2500, 0.5000, 0.0000)
K (0.5000, 0.0000, 0.2500)
K (0.5000, 0.0000, 0.7500)
K (0.7500, 0.5000, 0.0000)
Fe (0.0000, 0.5000, 0.2500)
Fe (0.0000, 0.5000, 0.7500)
Fe (0.2500, 0.0000, 0.5000)
Fe (0.5000, 0.2500, 0.0000)
Fe (0.5000, 0.7500, 0.0000)
Fe (0.7500, 0.0000, 0.5000)

***

4.
Below is an optimized crystal structure of KFe2, with properties calculated at the PBE level.

Results
- formation enthalpy at 0 K (kJ/mol of atoms) = 77.21

a b c (Å): 5.9806 5.9806 8.3222
angles (deg): 91.16 91.16 26.94
Positions (direct):
K (0.0000, 0.0000, 0.0000)
K (0.2456, 0.2456, 0.6688)
Fe (0.2630, 0.2630, 0.2483)
Fe (0.4956, 0.4956, 0.5772)
Fe (0.6037, 0.6037, 0.3426)
Fe (0.9196, 0.9196, 0.3668)

***

5.
Below is an optimized crystal structure of KFe2, with properties calculated at the PBE level.

Results
- formation enthalpy at 0 K (kJ/mol of atoms) = 54.75

a b c (Å): 4.5526 4.5526 11.9955
angles (deg): 104.18 104.18 38.81
Positions (direct):
K (0.1896, 0.1896, 0.1784)
K (0.8104, 0.8104, 0.8216)
Fe (0.1648, 0.1648, 0.5474)
Fe (0.4674, 0.4674, 0.6029)
Fe (0.5326, 0.5326, 0.3971)
Fe (0.8352, 0.8352, 0.4526)

***

6.
Below is an optimized crystal structure of KFe, with properties calculated at the PBE level.

Results
- formation enthalpy at 0 K (kJ/mol of atoms) = 92.86
- energy above the most stable polymorph in this dataset (meV/atom) = 294.8

a b c (Å): 4.3451 2.9274 9.5872
angles (deg): 90.00 90.00 90.00
Positions (direct):
K (0.2500, 0.0000, 0.2170)
K (0.7500, 0.0000, 0.7830)
Fe (0.2500, 0.5000, 0.5381)
Fe (0.7500, 0.5000, 0.4619)

***

What is the formula in the second record?
KFe